[1]
KFePbF6 after structural relaxation. Source: Alexandria via LeMat-Bulk, functional PBE with a Hubbard U.

## Properties
V in Å³/cell: 136.4
E_tot in eV/f.u.: -42.41

Structure (CIF):
```
data_KFePbF6
_cell_length_a 5.7099
_cell_length_b 5.7099
_cell_length_c 4.8294
_cell_angle_alpha 90.00
_cell_angle_beta 90.00
_cell_angle_gamma 120.00
_space_group_name_H-M_alt 'P 3'
_space_group_IT_number 143
_space_group_name_Hall 'P 3'
loop_
_atom_site_label
_atom_site_type_symbol
_atom_site_fract_x
_atom_site_fract_y
_atom_site_fract_z
_atom_site_occupancy
K1 K 0.0000 0.0000 0.0000 1
Fe1 Fe 0.6667 0.3333 0.3439 1
Pb1 Pb 0.3333 0.6667 0.5034 1
F1 F 0.3493 0.1316 0.5578 1
F2 F 0.4670 0.4615 0.1348 1
```



[2]
K2FePdF6 after structural relaxation. Source: Alexandria via LeMat-Bulk, functional PBE with a Hubbard U.

## Properties
V in Å³/cell: 322.8
E_tot in eV/f.u.: -46.42

Structure (CIF):
```
data_K2FePdF6
_cell_length_a 6.1809
_cell_length_b 6.1954
_cell_length_c 8.4299
_cell_angle_alpha 90.00
_cell_angle_beta 90.00
_cell_angle_gamma 90.00
_space_group_name_H-M_alt 'I m m m'
_space_group_IT_number 71
_space_group_name_Hall '-I 2 2'
loop_
_atom_site_label
_atom_site_type_symbol
_atom_site_fract_x
_atom_site_fract_y
_atom_site_fract_z
_atom_site_occupancy
K1 K 0.0000 0.0000 0.2503 1
Fe1 Fe 0.0000 0.5000 0.0000 1
Pd1 Pd 0.0000 0.5000 0.5000 1
F1 F 0.0000 0.5000 0.2347 1
F2 F 0.2245 0.2761 0.0000 1
```



[3]
KFePdF6 after structural relaxation. Source: Alexandria via LeMat-Bulk, functional PBE with a Hubbard U.

## Properties
V in Å³/cell: 152.9
E_tot in eV/f.u.: -42.31

Structure (CIF):
```
data_KFePdF6
_cell_length_a 5.5932
_cell_length_b 5.5932
_cell_length_c 5.6436
_cell_angle_alpha 90.00
_cell_angle_beta 90.00
_cell_angle_gamma 120.00
_space_group_name_H-M_alt 'P 3 1 2'
_space_group_IT_number 149
_space_group_name_Hall 'P 3 2'
loop_
_atom_site_label
_atom_site_type_symbol
_atom_site_fract_x
_atom_site_fract_y
_atom_site_fract_z
_atom_site_occupancy
K1 K 0.0000 0.0000 0.0000 1
Fe1 Fe 0.3333 0.6667 0.5000 1
Pd1 Pd 0.6667 0.3333 0.5000 1
F1 F 0.0325 0.3856 0.3035 1
```



[4]
KRb2FeF5 after structural relaxation. Source: Alexandria via LeMat-Bulk, functional PBE with a Hubbard U.

## Properties
V in Å³/cell: 343.1
E_tot in eV/f.u.: -41.71

Structure (CIF):
```
data_KRb2FeF5
_cell_length_a 4.1913
_cell_length_b 6.3035
_cell_length_c 12.9871
_cell_angle_alpha 90.00
_cell_angle_beta 90.00
_cell_angle_gamma 90.00
_space_group_name_H-M_alt 'I m m m'
_space_group_IT_number 71
_space_group_name_Hall '-I 2 2'
loop_
_atom_site_label
_atom_site_type_symbol
_atom_site_fract_x
_atom_site_fract_y
_atom_site_fract_z
_atom_site_occupancy
K1 K 0.0000 0.0000 0.0000 1
Rb1 Rb 0.0000 0.5000 0.2127 1
Fe1 Fe 0.0000 0.0000 0.5000 1
F1 F 0.0000 0.2390 0.3858 1
F2 F 0.0000 0.5000 0.0000 1
```



[5]
K2RbFe2F7 after structural relaxation. Source: Alexandria via LeMat-Bulk, functional PBE with a Hubbard U.

## Properties
V in Å³/cell: 387.7
E_tot in eV/f.u.: -59.41

Structure (CIF):
```
data_K2RbFe2F7
_cell_length_a 4.2649
_cell_length_b 4.2649
_cell_length_c 21.3124
_cell_angle_alpha 90.00
_cell_angle_beta 90.00
_cell_angle_gamma 90.00
_space_group_name_H-M_alt 'I 4/m m m'
_space_group_IT_number 139
_space_group_name_Hall '-I 4 2'
loop_
_atom_site_label
_atom_site_type_symbol
_atom_site_fract_x
_atom_site_fract_y
_atom_site_fract_z
_atom_site_occupancy
K1 K 0.0000 0.0000 0.1836 1
Rb1 Rb 0.0000 0.0000 0.0000 1
Fe1 Fe 0.0000 0.0000 0.4016 1
F1 F 0.0000 0.0000 0.3067 1
F2 F 0.0000 0.0000 0.5000 1
F3 F 0.0000 0.5000 0.0978 1
```



[6]
KFeRuF2 after structural relaxation. Source: Alexandria via LeMat-Bulk, functional PBE with a Hubbard U.

## Properties
V in Å³/cell: 97.8
E_tot in eV/f.u.: -21.78

Structure (CIF):
```
data_KFeRuF2
_cell_length_a 4.5278
_cell_length_b 4.5278
_cell_length_c 4.7714
_cell_angle_alpha 90.00
_cell_angle_beta 90.00
_cell_angle_gamma 90.00
_space_group_name_H-M_alt 'P 4/m m m'
_space_group_IT_number 123
_space_group_name_Hall '-P 4 2'
loop_
_atom_site_label
_atom_site_type_symbol
_atom_site_fract_x
_atom_site_fract_y
_atom_site_fract_z
_atom_site_occupancy
K1 K 0.0000 0.0000 0.0000 1
Fe1 Fe 0.5000 0.5000 0.0000 1
Ru1 Ru 0.5000 0.5000 0.5000 1
F1 F 0.0000 0.5000 0.5000 1
```



[7]
KFeSb2F after structural relaxation. Source: Alexandria via LeMat-Bulk, functional PBE with a Hubbard U.

## Properties
V in Å³/cell: 139.8
E_tot in eV/f.u.: -18.01

Structure (CIF):
```
data_KFeSb2F
_cell_length_a 6.0895
_cell_length_b 6.0895
_cell_length_c 3.7698
_cell_angle_alpha 90.00
_cell_angle_beta 90.00
_cell_angle_gamma 90.00
_space_group_name_H-M_alt 'P 4/m m m'
_space_group_IT_number 123
_space_group_name_Hall '-P 4 2'
loop_
_atom_site_label
_atom_site_type_symbol
_atom_site_fract_x
_atom_site_fract_y
_atom_site_fract_z
_atom_site_occupancy
K1 K 0.0000 0.0000 0.0000 1
Fe1 Fe 0.5000 0.5000 0.0000 1
Sb1 Sb 0.0000 0.5000 0.5000 1
F1 F 0.5000 0.5000 0.5000 1
```



[8]
K2FeSnF after structural relaxation. Source: Alexandria via LeMat-Bulk, functional PBE with a Hubbard U.

## Properties
V in Å³/cell: 223.4
E_tot in eV/f.u.: -13.57

Structure (CIF):
```
data_K2FeSnF
_cell_length_a 6.9675
_cell_length_b 6.9675
_cell_length_c 4.6025
_cell_angle_alpha 90.00
_cell_angle_beta 90.00
_cell_angle_gamma 90.00
_space_group_name_H-M_alt 'P 4/m m m'
_space_group_IT_number 123
_space_group_name_Hall '-P 4 2'
loop_
_atom_site_label
_atom_site_type_symbol
_atom_site_fract_x
_atom_site_fract_y
_atom_site_fract_z
_atom_site_occupancy
K1 K 0.0000 0.5000 0.0000 1
Fe1 Fe 0.0000 0.0000 0.5000 1
Sn1 Sn 0.5000 0.5000 0.0000 1
F1 F 0.5000 0.5000 0.5000 1
```



[9]
KSrFeF6 after structural relaxation. Source: Alexandria via LeMat-Bulk, functional PBE with a Hubbard U.

## Properties
V in Å³/cell: 152.4
E_tot in eV/f.u.: -46.93

Structure (CIF):
```
data_KSrFeF6
_cell_length_a 5.9049
_cell_length_b 5.9049
_cell_length_c 5.0458
_cell_angle_alpha 90.00
_cell_angle_beta 90.00
_cell_angle_gamma 120.00
_space_group_name_H-M_alt 'P 3 1 2'
_space_group_IT_number 149
_space_group_name_Hall 'P 3 2'
loop_
_atom_site_label
_atom_site_type_symbol
_atom_site_fract_x
_atom_site_fract_y
_atom_site_fract_z
_atom_site_occupancy
K1 K 0.0000 0.0000 0.0000 1
Sr1 Sr 0.3333 0.6667 0.5000 1
Fe1 Fe 0.6667 0.3333 0.0000 1
F1 F 0.4093 0.0466 0.7757 1
```



[10]
KTbFeF6 after structural relaxation. Source: Alexandria via LeMat-Bulk, functional PBE with a Hubbard U.

## Properties
V in Å³/cell: 326.9
E_tot in eV/f.u.: -51.95

Structure (CIF):
```
data_KTbFeF6
_cell_length_a 5.8763
_cell_length_b 9.9688
_cell_length_c 5.5801
_cell_angle_alpha 90.00
_cell_angle_beta 90.15
_cell_angle_gamma 90.00
_space_group_name_H-M_alt 'C 1 2 1'
_space_group_IT_number 5
_space_group_name_Hall 'C 2y'
loop_
_atom_site_label
_atom_site_type_symbol
_atom_site_fract_x
_atom_site_fract_y
_atom_site_fract_z
_atom_site_occupancy
K1 K 0.0000 0.0000 0.0000 1
Tb1 Tb 0.0000 0.3332 0.5000 1
Fe1 Fe 0.0000 0.6696 0.5000 1
F1 F 0.1297 0.5080 0.7033 1
F2 F 0.1819 0.8075 0.7079 1
F3 F 0.1940 0.1840 0.7072 1
```



[11]
KTiFeF6 after structural relaxation. Source: Alexandria via LeMat-Bulk, functional PBE with a Hubbard U.

## Properties
V in Å³/cell: 297.9
E_tot in eV/f.u.: -51.24

Structure (CIF):
```
data_KTiFeF6
_cell_length_a 5.5089
_cell_length_b 5.5089
_cell_length_c 11.3356
_cell_angle_alpha 90.00
_cell_angle_beta 90.00
_cell_angle_gamma 120.00
_space_group_name_H-M_alt 'P -3 1 c'
_space_group_IT_number 163
_space_group_name_Hall '-P 3 2c'
loop_
_atom_site_label
_atom_site_type_symbol
_atom_site_fract_x
_atom_site_fract_y
_atom_site_fract_z
_atom_site_occupancy
K1 K 0.0000 0.0000 0.0000 1
Ti1 Ti 0.3333 0.6667 0.2500 1
Fe1 Fe 0.3333 0.6667 0.7500 1
F1 F 0.0259 0.3852 0.1523 1
```